Below is a geometry-optimized PmPr4Nd2Sm structure, with properties calculated at the PBE level.

The volume comes out at 35.5 A^3/atom. For the formation energy from the elements, the calculation gives 0.0143 eV per atom. The calculation puts the spin magnetization at 0.00 μB per cell.

The space group is P2/m (No. 10) and the conventional cell measures 6.383, 3.696 and 12.241 Å, with angles of 90.00, 100.32 and 90.00 degrees. The distinct sites, in fractional coordinates, are Pm at (0.000, 0.000, 0.000), Pr at (0.249, 0.000, 0.749), Pr at (0.250, 0.500, 0.250), Nd at (0.500, 0.000, 0.500), Nd at (0.500, 0.500, 0.000) and Sm at (0.000, 0.500, 0.500).